# TmMgHg6 (GGA-PBE, optimized geometry)
# formation enthalpy at 0 K	0.145	eV per atom
# E	-0.840	eV/atom
data_TmMgHg6
_chemical_formula_sum 'Tm3 Mg3 Hg18'
_cell_length_a 6.2967
_cell_length_b 6.2967
_cell_length_c 28.4927
_cell_angle_alpha 90.00
_cell_angle_beta 90.00
_cell_angle_gamma 120.00
_space_group_name_H-M_alt 'R -3 m'
_space_group_IT_number 166
_space_group_name_Hall '-R 3 2"'
loop_
_atom_site_label
_atom_site_fract_x
_atom_site_fract_y
_atom_site_fract_z
_atom_site_occupancy
Tm1 0.0000 0.0000 0.0000 1
Mg1 0.0000 0.0000 0.5000 1
Hg1 0.0048 0.5024 0.2492 1



# Tm4Mg5Hg2 (GGA-PBE, optimized geometry)
# formation enthalpy at 0 K	-0.148	eV per atom
# E	-2.554	eV/atom
data_Tm4Mg5Hg2
_chemical_formula_sum 'Tm4 Mg5 Hg2'
_cell_length_a 7.9034
_cell_length_b 3.4602
_cell_length_c 10.3445
_cell_angle_alpha 90.00
_cell_angle_beta 93.44
_cell_angle_gamma 90.00
_space_group_name_H-M_alt 'P 1 2/m 1'
_space_group_IT_number 10
loop_
_space_group_symop_operation_xyz
'x,y,z'
'-x,-y,-z'
'-x,y,-z'
'x,-y,z'
loop_
_atom_site_label
_atom_site_fract_x
_atom_site_fract_y
_atom_site_fract_z
_atom_site_occupancy
Tm1 0.1592 0.0000 0.3818 1
Tm2 0.2658 0.0000 0.9475 1
Mg1 0.1981 0.5000 0.6628 1
Mg2 0.4377 0.5000 0.2031 1
Mg3 0.5000 0.5000 0.5000 1
Hg1 0.0604 0.5000 0.1428 1



# Tm4MgHg3 (GGA-PBE, optimized geometry)
# formation enthalpy at 0 K	-0.385	eV per atom
# E	-2.933	eV/atom
data_Tm4MgHg3
_chemical_formula_sum 'Tm12 Mg3 Hg9'
_cell_length_a 5.1934
_cell_length_b 5.1934
_cell_length_c 25.6803
_cell_angle_alpha 90.00
_cell_angle_beta 90.00
_cell_angle_gamma 120.00
_space_group_name_H-M_alt 'R -3 m'
_space_group_IT_number 166
_space_group_name_Hall '-R 3 2"'
loop_
_atom_site_label
_atom_site_fract_x
_atom_site_fract_y
_atom_site_fract_z
_atom_site_occupancy
Tm1 0.0000 0.0000 0.1203 1
Tm2 0.0000 0.0000 0.3726 1
Mg1 0.0000 0.0000 0.5000 1
Hg1 0.0000 0.0000 0.0000 1
Hg2 0.0000 0.0000 0.2400 1



# TmMgHg (GGA-PBE, optimized geometry)
# formation enthalpy at 0 K	-0.153	eV per atom
# E	-2.276	eV/atom
data_TmMgHg
_chemical_formula_sum 'Tm6 Mg6 Hg6'
_cell_length_a 4.9396
_cell_length_b 4.9396
_cell_length_c 23.2984
_cell_angle_alpha 90.00
_cell_angle_beta 90.00
_cell_angle_gamma 120.00
_space_group_name_H-M_alt 'R -3 m'
_space_group_IT_number 166
_space_group_name_Hall '-R 3 2"'
loop_
_atom_site_label
_atom_site_fract_x
_atom_site_fract_y
_atom_site_fract_z
_atom_site_occupancy
Tm1 0.0000 0.0000 0.1169 1
Mg1 0.0000 0.0000 0.3697 1
Hg1 0.0000 0.0000 0.2492 1



# TmMgHg (GGA-PBE, optimized geometry)
# formation enthalpy at 0 K	-0.294	eV per atom
# E	-2.417	eV/atom
data_TmMgHg
_chemical_formula_sum 'Tm1 Mg1 Hg1'
_cell_length_a 4.8954
_cell_length_b 4.8954
_cell_length_c 3.4654
_cell_angle_alpha 90.00
_cell_angle_beta 90.00
_cell_angle_gamma 120.00
_space_group_name_H-M_alt 'P -6 m 2'
_space_group_IT_number 187
_space_group_name_Hall 'P -6 2'
loop_
_atom_site_label
_atom_site_fract_x
_atom_site_fract_y
_atom_site_fract_z
_atom_site_occupancy
Tm1 0.0000 0.0000 0.0000 1
Mg1 0.3333 0.6667 0.5000 1
Hg1 0.6667 0.3333 0.5000 1



# TmMg2Hg (GGA-PBE, optimized geometry)
# polymorph energy (0 for the lowest one)	360	meV/atom
# formation enthalpy at 0 K	0.119	eV per atom
# E	-1.872	eV/atom
data_TmMg2Hg
_chemical_formula_sum 'Tm3 Mg6 Hg3'
_cell_length_a 3.2579
_cell_length_b 3.2579
_cell_length_c 33.5408
_cell_angle_alpha 90.00
_cell_angle_beta 90.00
_cell_angle_gamma 120.00
_space_group_name_H-M_alt 'R -3 m'
_space_group_IT_number 166
_space_group_name_Hall '-R 3 2"'
loop_
_atom_site_label
_atom_site_fract_x
_atom_site_fract_y
_atom_site_fract_z
_atom_site_occupancy
Tm1 0.0000 0.0000 0.0000 1
Mg1 0.0000 0.0000 0.0953 1
Hg1 0.0000 0.0000 0.5000 1



# TmMg2Hg (GGA-PBE, optimized geometry)
# polymorph energy (0 for the lowest one)	9	meV/atom
# formation enthalpy at 0 K	-0.232	eV per atom
# E	-2.223	eV/atom
data_TmMg2Hg
_chemical_formula_sum 'Tm2 Mg4 Hg2'
_cell_length_a 4.7683
_cell_length_b 6.0576
_cell_length_c 6.5573
_cell_angle_alpha 90.00
_cell_angle_beta 90.00
_cell_angle_gamma 90.00
_space_group_name_H-M_alt 'P m m n'
_space_group_IT_number 59
loop_
_space_group_symop_operation_xyz
'x,y,z'
'-x,-y,-z'
'-x+1/2,-y+1/2,z'
'x+1/2,y+1/2,-z'
'x+1/2,-y,-z'
'-x+1/2,y,z'
'-x,y+1/2,-z'
'x,-y+1/2,z'
loop_
_atom_site_label
_atom_site_fract_x
_atom_site_fract_y
_atom_site_fract_z
_atom_site_occupancy
Tm1 0.2500 0.2500 0.0846 1
Mg1 0.2500 0.5017 0.6330 1
Hg1 0.2500 0.7500 0.2224 1



# Tm3MgHg4 (GGA-PBE, optimized geometry)
# formation enthalpy at 0 K	-0.454	eV per atom
# E	-2.481	eV/atom
data_Tm3MgHg4
_chemical_formula_sum 'Tm3 Mg1 Hg4'
_cell_length_a 5.0836
_cell_length_b 5.0836
_cell_length_c 7.3479
_cell_angle_alpha 90.00
_cell_angle_beta 90.00
_cell_angle_gamma 90.00
_space_group_name_H-M_alt 'P 4/m m m'
_space_group_IT_number 123
_space_group_name_Hall '-P 4 2'
loop_
_atom_site_label
_atom_site_fract_x
_atom_site_fract_y
_atom_site_fract_z
_atom_site_occupancy
Tm1 0.0000 0.0000 0.0000 1
Tm2 0.0000 0.0000 0.5000 1
Tm3 0.5000 0.5000 0.0000 1
Mg1 0.5000 0.5000 0.5000 1
Hg1 0.0000 0.5000 0.2577 1